No. 1
Crystalline Th6Te3Os2Au at its relaxed geometry. Source: Alexandria, functional PBE.

Computed properties:
Final energy   -7.51 eV/atom
Total magnetization   0.00 μB/cell
Formation energy from raw total energies   -0.8694 eV per atom
DOS at the Fermi energy   7.70 states/eV per cell
Symmetry   C2/m

Cell: 7.3432 7.3432 8.0842 Å, 98.70 98.70 119.96°
Atoms (fractional coordinates):
Th (0.0775, 0.4307, 0.7936)
Th (0.2147, 0.2147, 0.2035)
Th (0.4307, 0.0775, 0.7936)
Th (0.5693, 0.9225, 0.2064)
Th (0.7853, 0.7853, 0.7965)
Th (0.9225, 0.5693, 0.2064)
Te (0.0000, 0.0000, 0.5000)
Te (0.3384, 0.6616, 0.5000)
Te (0.6616, 0.3384, 0.5000)
Os (0.1673, 0.8327, 0.0000)
Os (0.8327, 0.1673, 0.0000)
Au (0.5000, 0.5000, 0.0000)

---

No. 2
Crystalline Ni3W5 at its relaxed geometry. Source: Alexandria, functional PBE.

Computed properties:
Final energy   -10.11 eV/atom
Total magnetization   0.00 μB/cell
DOS at the Fermi energy   14.21 states/eV per cell
Energy of formation from the pure elements   0.153 eV/atom
Distance to the lowest polymorph of the same formula   33 meV per atom
Symmetry   P6_3/mcm

Cell: 7.3286 7.3286 4.9029 Å, 90.00 90.00 120.00°
Atoms (fractional coordinates):
Ni (0.0000, 0.4126, 0.2500)
Ni (0.0000, 0.5874, 0.7500)
Ni (0.4126, 0.0000, 0.2500)
Ni (0.4126, 0.4126, 0.7500)
Ni (0.5874, 0.0000, 0.7500)
Ni (0.5874, 0.5874, 0.2500)
W (0.0000, 0.2230, 0.7500)
W (0.0000, 0.7770, 0.2500)
W (0.2230, 0.0000, 0.7500)
W (0.2230, 0.2230, 0.2500)
W (0.3333, 0.6667, 0.0000)
W (0.3333, 0.6667, 0.5000)
W (0.6667, 0.3333, 0.0000)
W (0.6667, 0.3333, 0.5000)
W (0.7770, 0.0000, 0.2500)
W (0.7770, 0.7770, 0.7500)

---

No. 3
Crystalline KAs2Au at its relaxed geometry. Source: Alexandria, functional PBE.

Computed properties:
Final energy   -3.51 eV/atom
Total magnetization   0.00 μB/cell
DOS at the Fermi energy   6.54 states/eV per cell
Energy of formation from the pure elements   -0.093 eV/atom
Distance to the lowest polymorph of the same formula   66 meV per atom
Symmetry   I-42d

Cell: 4.8960 4.8960 18.6104 Å, 90.00 90.00 90.00°
Atoms (fractional coordinates):
K (0.0000, 0.0000, 0.0000)
K (0.0000, 0.5000, 0.2500)
K (0.5000, 0.0000, 0.7500)
K (0.5000, 0.5000, 0.5000)
As (0.1037, 0.2500, 0.6250)
As (0.2500, 0.6037, 0.8750)
As (0.2500, 0.8963, 0.3750)
As (0.3963, 0.2500, 0.1250)
As (0.6037, 0.7500, 0.1250)
As (0.7500, 0.1037, 0.3750)
As (0.7500, 0.3963, 0.8750)
As (0.8963, 0.7500, 0.6250)
Au (0.0000, 0.0000, 0.5000)
Au (0.0000, 0.5000, 0.7500)
Au (0.5000, 0.0000, 0.2500)
Au (0.5000, 0.5000, 0.0000)

---

No. 4
Crystalline CsTl5CdPb2 at its relaxed geometry. Source: Alexandria, functional PBE.

Computed properties:
Final energy   -2.17 eV/atom
Total magnetization   0.00 μB/cell
DOS at the Fermi energy   6.70 states/eV per cell
Energy of formation from the pure elements   0.164 eV/atom
Symmetry   P4/mmm

Cell: 5.5064 5.5064 12.7555 Å, 90.00 90.00 90.00°
Atoms (fractional coordinates):
Cs (0.0000, 0.0000, 0.0000)
Tl (0.0000, 0.5000, 0.3636)
Tl (0.0000, 0.5000, 0.6364)
Tl (0.5000, 0.0000, 0.3636)
Tl (0.5000, 0.0000, 0.6364)
Tl (0.5000, 0.5000, 0.0000)
Cd (0.5000, 0.5000, 0.5000)
Pb (0.5000, 0.5000, 0.2294)
Pb (0.5000, 0.5000, 0.7706)

---

No. 5
Crystalline Na2H6O3 at its relaxed geometry. Source: Alexandria, functional PBE.

Computed properties:
Final energy   -4.02 eV/atom
Total magnetization   0.00 μB/cell
DOS at the Fermi energy   0.00 states/eV per cell
Symmetry   P-62m

Cell: 5.3111 5.3111 3.2917 Å, 90.00 90.00 120.00°
Atoms (fractional coordinates):
Na (0.3333, 0.6667, 0.0000)
Na (0.6667, 0.3333, 0.0000)
H (0.0000, 0.1780, 0.5000)
H (0.0000, 0.9002, 0.0000)
H (0.0998, 0.0998, 0.0000)
H (0.1780, 0.0000, 0.5000)
H (0.8220, 0.8220, 0.5000)
H (0.9002, 0.0000, 0.0000)
O (0.0000, 0.7307, 0.5000)
O (0.2693, 0.2693, 0.5000)
O (0.7307, 0.0000, 0.5000)

---

No. 6
Crystalline ScPbNO2 at its relaxed geometry. Source: Alexandria, functional PBE.

Computed properties:
Final energy   -6.71 eV/atom
Total magnetization   2.00 μB/cell
Formation energy from raw total energies   -1.0518 eV per atom
DOS at the Fermi energy   2.01 states/eV per cell
Symmetry   P4/mmm

Cell: 4.1411 4.1411 4.3089 Å, 90.00 90.00 90.00°
Atoms (fractional coordinates):
Sc (0.0000, 0.0000, 0.0000)
Pb (0.5000, 0.5000, 0.5000)
N (0.0000, 0.0000, 0.5000)
O (0.0000, 0.5000, 0.0000)
O (0.5000, 0.0000, 0.0000)

---

No. 7
Crystalline TlAg4Ge at its relaxed geometry. Source: Alexandria, functional PBE.

Computed properties:
Final energy   -2.84 eV/atom
Total magnetization   0.00 μB/cell
DOS at the Fermi energy   4.70 states/eV per cell
Energy of formation from the pure elements   0.223 eV/atom
Symmetry   F-43m

Cell: 5.5962 5.5962 5.5962 Å, 60.00 60.00 60.00°
Atoms (fractional coordinates):
Tl (0.0000, 0.0000, 0.0000)
Ag (0.3752, 0.3752, 0.3752)
Ag (0.3752, 0.3752, 0.8745)
Ag (0.3752, 0.8745, 0.3752)
Ag (0.8745, 0.3752, 0.3752)
Ge (0.7500, 0.7500, 0.7500)

---

No. 8
Crystalline Rb3Ce2HoS6 at its relaxed geometry. Source: Alexandria, functional PBE.

Computed properties:
Final energy   -5.46 eV/atom
Total magnetization   2.01 μB/cell
Formation energy from raw total energies   -1.7887 eV per atom
DOS at the Fermi energy   11.77 states/eV per cell
Symmetry   C2/m

Cell: 7.2563 7.2563 8.0482 Å, 98.65 98.65 120.00°
Atoms (fractional coordinates):
Rb (0.0000, 0.0000, 0.0000)
Rb (0.3328, 0.6672, 0.0000)
Rb (0.6672, 0.3328, 0.0000)
Ce (0.1666, 0.8334, 0.5000)
Ce (0.8334, 0.1666, 0.5000)
Ho (0.5000, 0.5000, 0.5000)
S (0.1112, 0.4353, 0.3060)
S (0.2406, 0.2406, 0.6942)
S (0.4353, 0.1112, 0.3060)
S (0.5647, 0.8888, 0.6940)
S (0.7594, 0.7594, 0.3058)
S (0.8888, 0.5647, 0.6940)

---

No. 9
Crystalline LiNpIrOs at its relaxed geometry. Source: Alexandria, functional PBE.

Computed properties:
Final energy   -8.74 eV/atom
Total magnetization   9.66 μB/cell
DOS at the Fermi energy   26.04 states/eV per cell
Energy of formation from the pure elements   -0.007 eV/atom
Symmetry   F-43m

Cell: 6.4044 6.4044 6.4044 Å, 90.00 90.00 90.00°
Atoms (fractional coordinates):
Li (0.0000, 0.0000, 0.0000)
Li (0.0000, 0.5000, 0.5000)
Li (0.5000, 0.0000, 0.5000)
Li (0.5000, 0.5000, 0.0000)
Np (0.0000, 0.0000, 0.5000)
Np (0.0000, 0.5000, 0.0000)
Np (0.5000, 0.0000, 0.0000)
Np (0.5000, 0.5000, 0.5000)
Ir (0.2500, 0.2500, 0.7500)
Ir (0.2500, 0.7500, 0.2500)
Ir (0.7500, 0.2500, 0.2500)
Ir (0.7500, 0.7500, 0.7500)
Os (0.2500, 0.2500, 0.2500)
Os (0.2500, 0.7500, 0.7500)
Os (0.7500, 0.2500, 0.7500)
Os (0.7500, 0.7500, 0.2500)

---

No. 10
Crystalline Ac3Zn2SiPd6 at its relaxed geometry. Source: Alexandria, functional PBE.

Computed properties:
Final energy   -4.95 eV/atom
Total magnetization   0.00 μB/cell
Formation energy from raw total energies   -0.6638 eV per atom
DOS at the Fermi energy   6.62 states/eV per cell
Symmetry   P-3m1

Cell: 5.9210 5.9210 8.7852 Å, 90.00 90.00 120.00°
Atoms (fractional coordinates):
Ac (0.0000, 0.0000, 0.0000)
Ac (0.3333, 0.6667, 0.6338)
Ac (0.6667, 0.3333, 0.3662)
Zn (0.3333, 0.6667, 0.0523)
Zn (0.6667, 0.3333, 0.9477)
Si (0.0000, 0.0000, 0.5000)
Pd (0.1710, 0.3421, 0.2937)
Pd (0.1710, 0.8290, 0.2937)
Pd (0.3421, 0.1710, 0.7063)
Pd (0.6579, 0.8290, 0.2937)
Pd (0.8290, 0.1710, 0.7063)
Pd (0.8290, 0.6579, 0.7063)